! Ac2SmHg2 (PBE, optimized geometry); values from VASP
&SYSTEM
  ibrav = 0, nat = 10, ntyp = 3
/
ATOMIC_SPECIES
Ac 227.00 Ac.upf
Sm 150.36 Sm.upf
Hg 200.59 Hg.upf
ATOMIC_POSITIONS angstrom
Ac 0.0000 3.8462 0.0000
Ac 0.0000 18.3758 0.0000
Ac 1.9736 7.2648 0.0000
Ac 1.9736 14.9572 0.0000
Sm 0.0000 0.0000 0.0000
Sm 1.9736 11.1110 0.0000
Hg 0.0000 9.3595 1.9406
Hg 0.0000 12.8625 1.9406
Hg 1.9736 1.7515 1.9406
Hg 1.9736 20.4705 1.9406
CELL_PARAMETERS angstrom
3.9473 0.0000 0.0000
0.0000 22.2220 0.0000
0.0000 0.0000 3.8813
! Theoretical density in g/cm3: 9.8
! Calculated volume in Å³/cell: 340
! Formation enthalpy at 0 K in eV/atom: -0.298
! Symmetry: Cmmm, No. 65
! Energy in eV per atom: -3.01